Entry 1:
Material: VCu2O
Method: DFT, PBE+U
State: relaxed

```
data_VCu2O
_chemical_formula_sum 'V4 Cu8 O4'
_space_group_name_H-M_alt 'I -4 2 d'
_space_group_IT_number 122
_space_group_name_Hall 'I -4 2bw'
_cell_length_a 7.431
_cell_length_b 7.431
_cell_length_c 3.881
_cell_angle_alpha 90.00
_cell_angle_beta 90.00
_cell_angle_gamma 90.00
loop_
_atom_site_label
_atom_site_type_symbol
_atom_site_fract_x
_atom_site_fract_y
_atom_site_fract_z
V1 V 0.000 0.000 0.000
Cu1 Cu 0.162 0.750 0.625
O1 O 0.000 0.000 0.500
```


Entry 2:
Material: VCuO3
Method: DFT, PBE+U
State: relaxed

```
data_VCuO3
_chemical_formula_sum 'V8 Cu8 O24'
_space_group_name_H-M_alt 'I m -3'
_space_group_IT_number 204
_space_group_name_Hall '-I 2 2 3'
_cell_length_a 7.334
_cell_length_b 7.334
_cell_length_c 7.334
_cell_angle_alpha 90.00
_cell_angle_beta 90.00
_cell_angle_gamma 90.00
loop_
_atom_site_label
_atom_site_type_symbol
_atom_site_fract_x
_atom_site_fract_y
_atom_site_fract_z
V1 V 0.250 0.250 0.250
Cu1 Cu 0.000 0.000 0.000
Cu2 Cu 0.000 0.000 0.500
O1 O 0.000 0.305 0.181
```


Number 1: electronic total energy -5.1650 eV/atom. Number 2: electronic total energy -6.5974 eV/atom.